# SrMnO3 PBE+U optimized geometry
# Electronic total energy = -5.18 eV/atom
# Crystal system = cubic
# Spin magnetization = 3.0 μB per formula unit
data_SrMnO3
_cell_length_a 4.403
_cell_length_b 4.403
_cell_length_c 4.403
_cell_angle_alpha 90.00
_cell_angle_beta 90.00
_cell_angle_gamma 90.00
_space_group_name_H-M_alt 'P 1'
_space_group_IT_number 1
loop_
_space_group_symop_operation_xyz
'x,y,z'
loop_
_atom_site_label
_atom_site_type_symbol
_atom_site_fract_x
_atom_site_fract_y
_atom_site_fract_z
Sr1 Sr 0.000 0.000 0.000
Mn1 Mn 0.500 0.500 0.500
O1 O 0.000 0.500 0.000
O2 O 0.000 0.000 0.500
O3 O 0.500 0.000 0.000